Entry from Alexandria: a relaxed structure of RbCd4Hg12 (PBE).

Results
**ΔE_f**: -1.34 kJ/mol of atoms
**Crystal system**: cubic
**Space group**: Im-3

a = 8.8858 Å, b = 8.8858 Å, c = 8.8858 Å
α = 109.47°, β = 109.47°, γ = 109.47°
Sites, in units of the cell vectors:
Cd 0.5000 0.5000 0.5000
Cd 0.5000 0.0000 0.0000
Cd 0.0000 0.5000 0.0000
Cd 0.0000 0.0000 0.5000
Hg 0.4971 0.8498 0.6473
Hg 0.2025 0.8498 0.3527
Hg 0.6473 0.4971 0.8498
Hg 0.1502 0.6473 0.7975
Hg 0.5029 0.1502 0.3527
Hg 0.8498 0.6473 0.4971
Hg 0.3527 0.5029 0.1502
Hg 0.1502 0.3527 0.5029
Hg 0.3527 0.2025 0.8498
Hg 0.6473 0.7975 0.1502
Hg 0.8498 0.3527 0.2025
Hg 0.7975 0.1502 0.6473
Rb 0.0000 0.0000 0.0000

=====

Entry from Alexandria: a relaxed structure of RbCd8Hg6 (PBE).

Results
**ΔE_f**: -2.73 kJ/mol of atoms
**Crystal system**: trigonal
**Space group**: R-3

a = 7.7017 Å, b = 7.7017 Å, c = 7.7017 Å
α = 71.38°, β = 71.38°, γ = 71.38°
Sites, in units of the cell vectors:
Cd 0.4734 0.1468 0.8147
Cd 0.2141 0.2141 0.2141
Cd 0.8147 0.4734 0.1468
Cd 0.5266 0.8532 0.1853
Cd 0.8532 0.1853 0.5266
Cd 0.7859 0.7859 0.7859
Cd 0.1468 0.8147 0.4734
Cd 0.1853 0.5266 0.8532
Hg 0.4175 0.8356 0.6680
Hg 0.6680 0.4175 0.8356
Hg 0.3320 0.5825 0.1644
Hg 0.1644 0.3320 0.5825
Hg 0.8356 0.6680 0.4175
Hg 0.5825 0.1644 0.3320
Rb 0.0000 0.0000 0.0000

=====

Entry from Alexandria: a relaxed structure of Rb2CdHg (PBE).

Results
**ΔE_f**: -7.29 kJ/mol of atoms
**Crystal system**: tetragonal
**Space group**: P4/mmm

a = 4.4827 Å, b = 4.4827 Å, c = 8.9704 Å
α = 90.00°, β = 90.00°, γ = 90.00°
Sites, in units of the cell vectors:
Rb 0.0000 0.0000 0.2452
Rb 0.0000 0.0000 0.7548
Hg 0.5000 0.5000 0.0000
Cd 0.5000 0.5000 0.5000

=====

Entry from Alexandria: a relaxed structure of Rb2CdHg4 (PBE).

Results
**ΔE_f**: -19.00 kJ/mol of atoms
**Crystal system**: monoclinic
**Space group**: P2_1/m

a = 6.9121 Å, b = 7.2081 Å, c = 10.2460 Å
α = 90.00°, β = 104.57°, γ = 90.00°
Sites, in units of the cell vectors:
Hg 0.7422 0.2500 0.9140
Hg 0.6968 0.7500 0.5971
Hg 0.3032 0.2500 0.4029
Hg 0.2578 0.7500 0.0860
Hg 0.5888 0.9699 0.3028
Hg 0.4112 0.4699 0.6972
Hg 0.4112 0.0301 0.6972
Hg 0.5888 0.5301 0.3028
Rb 0.1201 0.7500 0.4041
Rb 0.8799 0.2500 0.5959
Rb 0.7228 0.7500 0.9821
Rb 0.2772 0.2500 0.0179
Cd 0.8749 0.2500 0.2202
Cd 0.1251 0.7500 0.7798